1.
Li2CoRh | PBE-GGA | optimized geometry

The structure in extended XYZ format:
```
4
Lattice="3.143 0.000 0.000 0.000 3.143 0.000 0.000 0.000 5.015" Properties=species:S:1:pos:R:3 pbc="T T T"
Co 1.571 1.571 3.761
Li 0.000 0.000 5.014
Li 0.000 0.000 2.508
Rh 1.571 1.571 1.254
```

Values from the calculation:
E above lowest polymorph ... 229 meV/atom
SG ... P4/mmm (123)
Formation energy from the elements ... 0.193 eV/atom
E ... -17.5 eV per cell
Total magnetization ... 2.131 μB per cell

***

2.
LiPtBr6 | PBE-GGA | optimized geometry

The structure in extended XYZ format:
```
8
Lattice="-5.986 -1.938 -3.869 6.958 1.820 -2.633 1.210 -5.900 3.613" Properties=species:S:1:pos:R:3 pbc="T T T"
Li 0.000 0.000 0.000
Pt -2.993 -0.969 -1.934
Br -3.997 -3.131 -2.727
Br 3.212 -3.840 -1.952
Br -1.030 -2.178 -0.937
Br 6.179 -2.887 -0.162
Br 2.650 0.603 -2.482
Br -1.677 -0.721 -4.020
```

Values from the calculation:
E above lowest polymorph ... 0 meV/atom
SG ... C2/m (12)
E ... -21.7 eV per cell
Energy relative to the elements, uncorrected ... -0.46 eV/atom
Total magnetization ... 1.027 μB per cell